# MgNpZn2Au4 | the Alexandria database | PBE | relaxed
# Energy of formation from the pure elements = -0.27 eV per atom
# DOS(E_F) = 1.663 states/eV/atom
# V = 19.07 Å³/atom
# Total magnetization = 4.07 μB/f.u.
data_MgNpZn2Au4
_symmetry_space_group_name_H-M 'R -3 m'
_symmetry_Int_Tables_number 166
_symmetry_space_group_name_Hall '-R 3 2"'
_cell_length_a 4.5854
_cell_length_b 4.5854
_cell_length_c 25.1388
_cell_angle_alpha 90.00
_cell_angle_beta 90.00
_cell_angle_gamma 120.00
loop_
_atom_site_label
_atom_site_type_symbol
_atom_site_fract_x
_atom_site_fract_y
_atom_site_fract_z
_atom_site_occupancy
Mg1 Mg 0.0000 0.0000 0.0000 1
Np1 Np 0.0000 0.0000 0.5000 1
Zn1 Zn 0.0000 0.0000 0.2536 1
Au1 Au 0.0000 0.0000 0.1088 1
Au2 Au 0.0000 0.0000 0.3723 1

=====

# Mg2AuO2 | the Alexandria database | PBE | relaxed
# Raw formation energy = -1.465 eV per atom
# DOS(E_F) = 0.338 states/eV/atom
# V = 15.95 Å³/atom
# Total magnetization = 0.00 μB/f.u.
# Energy above the lowest structure with this stoichiometry = 0.0 meV/atom
data_Mg2AuO2
_symmetry_space_group_name_H-M 'I 4/m m m'
_symmetry_Int_Tables_number 139
_symmetry_space_group_name_Hall '-I 4 2'
_cell_length_a 3.938
_cell_length_b 3.938
_cell_length_c 10.285
_cell_angle_alpha 90.00
_cell_angle_beta 90.00
_cell_angle_gamma 90.00
loop_
_atom_site_label
_atom_site_type_symbol
_atom_site_fract_x
_atom_site_fract_y
_atom_site_fract_z
_atom_site_occupancy
Mg1 Mg 0.000 0.000 0.212 1
Au1 Au 0.000 0.000 0.500 1
O1 O 0.000 0.500 0.250 1

=====

# Mg2AuO2 | the Alexandria database | PBE | relaxed
# Raw formation energy = -1.062 eV per atom
# DOS(E_F) = 0.297 states/eV/atom
# V = 12.54 Å³/atom
# Total magnetization = 0.00 μB/f.u.
# Energy above the lowest structure with this stoichiometry = 403.6 meV/atom
data_Mg2AuO2
_symmetry_space_group_name_H-M 'P 4/m b m'
_symmetry_Int_Tables_number 127
_symmetry_space_group_name_Hall '-P 4 2ab'
_cell_length_a 6.699
_cell_length_b 6.699
_cell_length_c 2.794
_cell_angle_alpha 90.00
_cell_angle_beta 90.00
_cell_angle_gamma 90.00
loop_
_atom_site_label
_atom_site_type_symbol
_atom_site_fract_x
_atom_site_fract_y
_atom_site_fract_z
_atom_site_occupancy
Mg1 Mg 0.135 0.365 0.000 1
Au1 Au 0.000 0.000 0.000 1
O1 O 0.136 0.636 0.500 1

=====

# MgAu3O | the Alexandria database | PBE | relaxed
# Raw formation energy = 0.187 eV per atom
# DOS(E_F) = 0.739 states/eV/atom
# V = 18.66 Å³/atom
# Total magnetization = 0.00 μB/f.u.
# Energy above the lowest structure with this stoichiometry = 0.0 meV/atom
data_MgAu3O
_symmetry_space_group_name_H-M 'P m -3 m'
_symmetry_Int_Tables_number 221
_symmetry_space_group_name_Hall '-P 4 2 3'
_cell_length_a 4.535
_cell_length_b 4.535
_cell_length_c 4.535
_cell_angle_alpha 90.00
_cell_angle_beta 90.00
_cell_angle_gamma 90.00
loop_
_atom_site_label
_atom_site_type_symbol
_atom_site_fract_x
_atom_site_fract_y
_atom_site_fract_z
_atom_site_occupancy
Mg1 Mg 0.000 0.000 0.000 1
Au1 Au 0.000 0.500 0.500 1
O1 O 0.500 0.500 0.500 1